First-principles (PBE) data for crystalline Li2CuAu3 at its relaxed geometry, as listed in Alexandria via LeMat-Bulk.

## Properties
Total magnetic moment ... 0.00 μB/cell
Energy above the most stable polymorph in this dataset ... 0.54 kJ/mol of atoms

Cell lengths 5.4640, 4.9782, 7.4286 Å; angles 93.74, 111.58, 90.00 degrees
Closest atoms and distances in Å follow each position.
Fractional positions:
Cu (0.1152, 0.2500, 0.0000)  8 Au 2.70-2.87, 2 Cu 2.79, 2 Li 2.84
Cu (0.8848, 0.7500, 0.0000)  8 Au 2.70-2.87, 2 Cu 2.79, 2 Li 2.84
Au (0.3783, 0.7500, 0.0000)  4 Cu 2.70-2.87, 4 Li 2.73-2.83, 4 Au 2.82-2.87
Au (0.6217, 0.2500, 0.0000)  4 Cu 2.70-2.87, 4 Li 2.73-2.83, 4 Au 2.82-2.87
Au (0.0398, 0.0740, 0.3327)  2 Cu 2.71-2.84, 6 Li 2.72-2.88, 4 Au 2.82-2.87
Au (0.2929, 0.5740, 0.3327)  2 Cu 2.71-2.84, 6 Li 2.72-2.88, 4 Au 2.82-2.87
Au (0.7071, 0.4260, 0.6673)  2 Cu 2.71-2.84, 6 Li 2.72-2.88, 4 Au 2.82-2.87
Au (0.9602, 0.9260, 0.6673)  2 Cu 2.71-2.84, 6 Li 2.72-2.88, 4 Au 2.82-2.87
Li (0.4646, 0.9126, 0.6702)  8 Au 2.72-2.88, 1 Cu 2.84, 3 Li 2.86-2.88
Li (0.2056, 0.4126, 0.6702)  8 Au 2.72-2.88, 1 Cu 2.84, 3 Li 2.86-2.88
Li (0.5354, 0.0874, 0.3298)  8 Au 2.72-2.88, 1 Cu 2.84, 3 Li 2.86-2.88
Li (0.7944, 0.5874, 0.3298)  8 Au 2.72-2.88, 1 Cu 2.84, 3 Li 2.86-2.88